# Re2PSe

Re2PSe after structural relaxation (PBE, Alexandria).

Values from the calculation:
* size of the total moment: 0.00 μB per cell
* E above lowest polymorph: 0.16 eV/f.u.
* calculated total energy: -8.38 eV/atom

Structure (extended XYZ):
```
4
Lattice="-6.830 5.513 4.251 -8.407 4.546 1.943 -8.210 2.900 4.393" Properties=species:S:1:pos:R:3 pbc="T T T"
Re -17.516 9.681 7.909
Re -0.029 0.016 0.013
P -6.446 3.563 2.911
Se -11.180 6.179 5.048
```

# TmBeNi3

TmBeNi3 after structural relaxation (PBE, Alexandria).

Values from the calculation:
* size of the total moment: 0.84 μB per cell
* calculated formation energy: 149 meV per atom
* calculated total energy: -4.96 eV/atom

Structure (extended XYZ):
```
10
Lattice="-2.057 1.811 -3.395 -5.999 -2.679 2.206 3.093 6.052 1.354" Properties=species:S:1:pos:R:3 pbc="T T T"
Ni 0.000 0.000 0.000
Ni -4.814 0.561 1.814
Ni -1.238 5.888 -0.314
Ni -1.028 0.905 -1.697
Ni -0.149 4.623 -1.649
Ni -3.724 -0.704 0.479
Be 1.143 5.126 0.640
Be -6.105 0.059 -0.475
Tm -1.006 3.062 0.841
Tm -3.956 2.122 -0.676
```

# BaMgP2

BaMgP2 after structural relaxation (PBE, Alexandria).

Values from the calculation:
* size of the total moment: 0.00 μB per cell
* calculated formation energy: -478 meV per atom
* calculated total energy: -4.06 eV/atom

Structure (extended XYZ):
```
4
Lattice="3.691 0.186 0.000 -0.203 3.690 0.000 0.000 0.000 6.614" Properties=species:S:1:pos:R:3 pbc="T T T"
Ba 1.744 1.938 1.654
Mg 1.744 1.938 4.961
P 0.000 0.000 3.821
P 0.000 0.000 6.100
```

- What is the formula in the second record?
  TmBeNi3

- Which formula does entry 1 have?
  Re2PSe

Repeat the second record exactly.
# TmBeNi3

TmBeNi3 after structural relaxation (PBE, Alexandria).

Values from the calculation:
* size of the total moment: 0.84 μB per cell
* calculated formation energy: 149 meV per atom
* calculated total energy: -4.96 eV/atom

Structure (extended XYZ):
```
10
Lattice="-2.057 1.811 -3.395 -5.999 -2.679 2.206 3.093 6.052 1.354" Properties=species:S:1:pos:R:3 pbc="T T T"
Ni 0.000 0.000 0.000
Ni -4.814 0.561 1.814
Ni -1.238 5.888 -0.314
Ni -1.028 0.905 -1.697
Ni -0.149 4.623 -1.649
Ni -3.724 -0.704 0.479
Be 1.143 5.126 0.640
Be -6.105 0.059 -0.475
Tm -1.006 3.062 0.841
Tm -3.956 2.122 -0.676
```